Computed, not measured: a relaxed structure of AsOsSe2O at the GGA-PBEsol level of DFT.

Calculated values
- Formation energy from raw total energies: 1.094 eV per atom
- Symmetry: P4/mmm

a = 4.801 Å, b = 4.801 Å, c = 4.707 Å
α = 90.00°, β = 90.00°, γ = 90.00°
Atoms (fractional coordinates):
As: 0.000 0.000 0.000
Os: 0.000 0.000 0.500
Se: 0.000 0.500 0.500
Se: 0.500 0.000 0.500
O: 0.500 0.500 0.000



Computed, not measured: a relaxed structure of Os3Cl at the GGA-PBEsol level of DFT.

Calculated values
- Formation energy from raw total energies: 0.507 eV per atom
- Symmetry: P-6m2

a = 2.792 Å, b = 2.792 Å, c = 8.527 Å
α = 90.00°, β = 90.00°, γ = 120.00°
Atoms (fractional coordinates):
Os: 0.000 0.000 0.000
Os: 0.333 0.667 0.240
Os: 0.333 0.667 0.760
Cl: 0.000 0.000 0.500



Computed, not measured: a relaxed structure of PIrAuC2 at the GGA-PBEsol level of DFT.

Calculated values
- VASP energy: -6.383 eV per atom
- Symmetry: P4/mmm

a = 3.790 Å, b = 3.790 Å, c = 5.383 Å
α = 90.00°, β = 90.00°, γ = 90.00°
Atoms (fractional coordinates):
P: 0.000 0.000 0.000
Ir: 0.000 0.000 0.500
Au: 0.500 0.500 0.000
C: 0.000 0.500 0.500
C: 0.500 0.000 0.500



Computed, not measured: a relaxed structure of Ba2CaBiO6 at the GGA-PBEsol level of DFT.

Calculated values
- Formation energy from raw total energies: -2.051 eV per atom
- Symmetry: Fm-3m

a = 6.118 Å, b = 6.118 Å, c = 6.118 Å
α = 60.00°, β = 60.00°, γ = 60.00°
Atoms (fractional coordinates):
Ba: 0.250 0.250 0.250
Ba: 0.750 0.750 0.750
Ca: 0.000 0.000 0.000
Bi: 0.500 0.500 0.500
O: 0.258 0.258 0.742
O: 0.258 0.742 0.258
O: 0.258 0.742 0.742
O: 0.742 0.258 0.258
O: 0.742 0.258 0.742
O: 0.742 0.742 0.258



Computed, not measured: a relaxed structure of SiAsIr3 at the GGA-PBEsol level of DFT.

Calculated values
- Formation energy from raw total energies: 1.342 eV per atom
- Symmetry: Pm-3m

a = 4.527 Å, b = 4.527 Å, c = 4.527 Å
α = 90.00°, β = 90.00°, γ = 90.00°
Atoms (fractional coordinates):
Si: 0.000 0.000 0.000
As: 0.500 0.500 0.500
Ir: 0.000 0.500 0.500
Ir: 0.500 0.000 0.500
Ir: 0.500 0.500 0.000



Computed, not measured: a relaxed structure of SiTc2Ir at the GGA-PBEsol level of DFT.

Calculated values
- Formation energy from raw total energies: -0.195 eV per atom
- Symmetry: Pmm2

a = 2.764 Å, b = 3.726 Å, c = 5.316 Å
α = 90.00°, β = 90.00°, γ = 90.00°
Atoms (fractional coordinates):
Si: 0.000 0.000 0.000
Tc: 0.000 0.000 0.485
Tc: 0.500 0.500 0.278
Ir: 0.500 0.500 0.791



Computed, not measured: a relaxed structure of K2Li2TiO4 at the GGA-PBEsol level of DFT.

Calculated values
- Formation energy from raw total energies: -2.248 eV per atom
- Symmetry: P2_1/c

a = 5.627 Å, b = 8.281 Å, c = 11.557 Å
α = 90.00°, β = 109.33°, γ = 90.00°
Atoms (fractional coordinates):
K: 0.171 0.005 0.326
K: 0.171 0.495 0.826
K: 0.215 0.204 0.595
K: 0.215 0.296 0.095
K: 0.785 0.704 0.905
K: 0.785 0.796 0.405
K: 0.829 0.505 0.174
K: 0.829 0.995 0.674
Li: 0.131 0.017 0.929
Li: 0.131 0.483 0.429
Li: 0.396 0.559 0.304
Li: 0.396 0.941 0.804
Li: 0.604 0.059 0.196
Li: 0.604 0.441 0.696
Li: 0.869 0.517 0.571
Li: 0.869 0.983 0.071
Ti: 0.385 0.705 0.580
Ti: 0.385 0.795 0.080
Ti: 0.615 0.205 0.920
Ti: 0.615 0.295 0.420
O: 0.233 0.522 0.611
O: 0.233 0.978 0.111
O: 0.282 0.162 0.845
O: 0.282 0.338 0.345
O: 0.293 0.699 0.413
O: 0.293 0.801 0.913
O: 0.298 0.602 0.130
O: 0.298 0.898 0.630
O: 0.702 0.102 0.370
O: 0.702 0.398 0.870
O: 0.707 0.199 0.087
O: 0.707 0.301 0.587
O: 0.718 0.662 0.655
O: 0.718 0.838 0.155
O: 0.767 0.022 0.889
O: 0.767 0.478 0.389



Computed, not measured: a relaxed structure of RbBiS2Br at the GGA-PBEsol level of DFT.

Calculated values
- Formation energy from raw total energies: 0.377 eV per atom
- Symmetry: P4/mmm

a = 5.290 Å, b = 5.290 Å, c = 5.410 Å
α = 90.00°, β = 90.00°, γ = 90.00°
Atoms (fractional coordinates):
Rb: 0.000 0.000 0.000
Bi: 0.500 0.500 0.000
S: 0.000 0.500 0.500
S: 0.500 0.000 0.500
Br: 0.500 0.500 0.500



What are the density of states at the Fermi level values for these records? In order: 1.210 0.498 0.548 0.683 0.888 0.925 0.000 1.179 states/eV per atom.
What are the spin magnetization values for these records? In order: 0.219 0.000 0.000 0.101 0.000 0.000 0.000 0.247 μB per atom.